First-principles (PBE+U) data for Na3Mn5O12 after structural relaxation, as listed in the Alexandria database.

abc: 5.041 8.648 5.895
angles: 90.00 107.89 90.00
Sites, in units of the cell vectors:
1 Na 0.000 0.000 0.000
2 Na 0.500 0.203 0.000
3 Na 0.500 0.797 0.000
4 Mn 0.000 0.160 0.500
5 Mn 0.000 0.500 0.500
6 Mn 0.000 0.840 0.500
7 Mn 0.500 0.326 0.500
8 Mn 0.500 0.674 0.500
9 O 0.199 0.000 0.700
10 O 0.232 0.333 0.677
11 O 0.232 0.667 0.677
12 O 0.250 0.183 0.310
13 O 0.250 0.817 0.310
14 O 0.270 0.500 0.329
15 O 0.730 0.500 0.671
16 O 0.750 0.183 0.690
17 O 0.750 0.817 0.690
18 O 0.768 0.333 0.323
19 O 0.768 0.667 0.323
20 O 0.801 0.000 0.300

Values from the calculation:
- Space-group type: P2/m (10)
- DFT total energy: -6.4240 eV/atom